Entry 1:
Compound: BaSiW4
Source: Alexandria
Functional: PBE
Structure: relaxed

Unit cell a=5.520 b=5.520 c=5.520 alpha=60.00 beta=60.00 gamma=60.00
Positions (direct):
W1 0.375 0.375 0.874
W2 0.375 0.874 0.375
Ba1 0.750 0.750 0.750
W3 0.375 0.375 0.375
Si1 0.000 0.000 0.000
W4 0.874 0.375 0.375

Properties
magnetic moment: 0.00 μB/f.u.
E_tot: -8.73 eV per atom
space group: F-43m (216)
crystal system: cubic
ΔE_f (raw): 1.126 eV per atom

Entry 2:
Compound: Ba2SiW
Source: Alexandria
Functional: PBE
Structure: relaxed

Unit cell a=5.728 b=5.728 c=3.908 alpha=90.00 beta=90.00 gamma=90.00
Site moments in Bohr magnetons follow the coordinates.
Positions (direct):
Si1 0.500 0.000 0.500  -0.02
Ba1 0.500 0.500 0.000  0.06
W1 0.000 0.500 0.500  2.47
Ba2 0.000 0.000 0.000  0.06

Properties
magnetic moment: 3.51 μB/f.u.
relative energy among the computed polymorphs: 0.836 eV/atom
E_tot: -4.47 eV per atom
space group: P4/mmm (123)
crystal system: tetragonal
ΔE_f (raw): 1.083 eV per atom

Entry 3:
Compound: BaYSi2
Source: Alexandria
Functional: PBE
Structure: relaxed

Unit cell a=4.163 b=5.031 c=5.031 alpha=90.00 beta=90.00 gamma=90.00
Positions (direct):
Si1 0.000 0.500 0.500
Y1 0.500 0.500 0.000
Si2 0.000 0.000 0.000
Ba1 0.500 0.000 0.500

Properties
magnetic moment: 0.00 μB/f.u.
relative energy among the computed polymorphs: 0.422 eV/atom
E_tot: -4.87 eV per atom
space group: P4/mmm (123)
crystal system: tetragonal
ΔE_f (raw): -0.062 eV per atom

Entry 4:
Compound: BaY3Si
Source: Alexandria
Functional: PBE
Structure: relaxed

Unit cell a=5.626 b=5.626 c=5.626 alpha=90.00 beta=90.00 gamma=90.00
Positions (direct):
Ba1 0.500 0.500 0.500
Y1 0.000 0.500 0.000
Si1 0.000 0.000 0.000
Y2 0.500 0.000 0.000
Y3 0.000 0.000 0.500

Properties
magnetic moment: 0.00 μB/f.u.
relative energy among the computed polymorphs: 0.000 eV/atom
E_tot: -5.41 eV per atom
space group: Pm-3m (221)
crystal system: cubic
ΔE_f (raw): -0.058 eV per atom

Entry 5:
Compound: BaYSi2
Source: Alexandria
Functional: PBE
Structure: relaxed

Unit cell a=8.369 b=8.369 c=8.369 alpha=28.37 beta=28.37 gamma=28.37
Positions (direct):
Y1 0.540 0.540 0.540
Si1 0.949 0.949 0.949
Si2 0.291 0.291 0.291
Ba1 0.720 0.720 0.720

Properties
magnetic moment: 0.00 μB/f.u.
relative energy among the computed polymorphs: 0.197 eV/atom
E_tot: -5.09 eV per atom
space group: R3m (160)
crystal system: trigonal
ΔE_f (raw): -0.287 eV per atom

Entry 6:
Compound: BaYSi2
Source: Alexandria
Functional: PBE
Structure: relaxed

Unit cell a=5.446 b=5.446 c=5.446 alpha=125.22 beta=125.23 gamma=81.17
Positions (direct):
Si1 0.500 0.500 0.000
Si2 0.000 0.000 0.000
Y1 0.750 0.250 0.500
Ba1 0.250 0.750 0.500

Properties
magnetic moment: 0.00 μB/f.u.
relative energy among the computed polymorphs: 0.357 eV/atom
E_tot: -4.94 eV per atom
space group: I4/mmm (139)
crystal system: tetragonal
ΔE_f (raw): -0.127 eV per atom

Entry 7:
Compound: BaYSi2
Source: Alexandria
Functional: PBE
Structure: relaxed

Unit cell a=6.148 b=6.148 c=6.148 alpha=137.63 beta=137.63 gamma=61.47
Positions (direct):
Y1 0.500 0.500 0.000
Si1 0.000 0.000 0.000
Ba1 0.750 0.250 0.500
Si2 0.250 0.750 0.500

Properties
magnetic moment: 0.00 μB/f.u.
relative energy among the computed polymorphs: 0.504 eV/atom
E_tot: -4.79 eV per atom
space group: I-4m2 (119)
crystal system: tetragonal
ΔE_f (raw): 0.021 eV per atom

Entry 8:
Compound: BaY2Si6
Source: Alexandria
Functional: PBE
Structure: relaxed

Unit cell a=4.051 b=7.546 c=7.546 alpha=71.98 beta=74.16 gamma=74.16
Positions (direct):
Si1 0.314 0.433 0.942
Y1 0.847 0.653 0.653
Si2 0.314 0.942 0.433
Ba1 0.000 0.000 0.000
Si3 0.686 0.567 0.058
Si4 0.500 0.353 0.647
Si5 0.687 0.058 0.567
Y2 0.153 0.347 0.347
Si6 0.500 0.647 0.353

Properties
magnetic moment: 0.00 μB/f.u.
E_tot: -5.68 eV per atom
space group: C2/m (12)
crystal system: monoclinic
ΔE_f (raw): -0.415 eV per atom